# Pm8ZnTe4S3, relaxed, DFT PBE
# E_form (uncorrected): -1.51 eV/atom
# E_tot: -5.5232 eV/atom
# Total magnetic moment: 0.0 μB/cell
data_Pm8ZnTe4S3
_chemical_formula_sum 'Pm24 Zn3 Te12 S9'
_cell_length_a 8.4360
_cell_length_b 8.4360
_cell_length_c 21.6006
_cell_angle_alpha 90.00
_cell_angle_beta 90.00
_cell_angle_gamma 120.00
_symmetry_space_group_name_H-M 'R -3 m'
_symmetry_Int_Tables_number 166
_symmetry_space_group_name_Hall '-R 3 2"'
loop_
_atom_site_label
_atom_site_type_symbol
_atom_site_fract_x
_atom_site_fract_y
_atom_site_fract_z
_atom_site_occupancy
Pm1 Pm 0.0000 0.0000 0.2359 1
Pm2 Pm 0.0044 0.5022 0.7605 1
Zn1 Zn 0.0000 0.0000 0.5000 1
Te1 Te 0.0000 0.0000 0.0000 1
Te2 Te 0.0000 0.5000 0.0000 1
S1 S 0.0000 0.5000 0.5000 1

***

# PmTh5S6, relaxed, DFT PBE
# E_form (uncorrected): -1.87 eV/atom
# E_tot: -7.4224 eV/atom
# Total magnetic moment: 0.0 μB/cell
data_PmTh5S6
_chemical_formula_sum 'Pm2 Th10 S12'
_cell_length_a 7.013
_cell_length_b 12.099
_cell_length_c 6.993
_cell_angle_alpha 90.00
_cell_angle_beta 109.38
_cell_angle_gamma 90.00
_symmetry_space_group_name_H-M 'C 1 2/m 1'
_symmetry_Int_Tables_number 12
loop_
_symmetry_equiv_pos_as_xyz
'x,y,z'
'-x,-y,-z'
'-x,y,-z'
'x,-y,z'
'x+1/2,y+1/2,z'
'-x+1/2,-y+1/2,-z'
'-x+1/2,y+1/2,-z'
'x+1/2,-y+1/2,z'
loop_
_atom_site_label
_atom_site_type_symbol
_atom_site_fract_x
_atom_site_fract_y
_atom_site_fract_z
_atom_site_occupancy
Pm1 Pm 0.000 0.000 0.000 1
Th1 Th 0.000 0.167 0.500 1
Th2 Th 0.000 0.333 0.000 1
Th3 Th 0.000 0.500 0.500 1
S1 S 0.249 0.000 0.751 1
S2 S 0.249 0.166 0.248 1

***

# PmThS2, relaxed, DFT PBE
# E_form (uncorrected): -1.93 eV/atom
# E_tot: -7.0343 eV/atom
# Total magnetic moment: 0.0 μB/cell
# Excess energy over the best structure of this formula in the dataset: 0.00 eV/f.u.
data_PmThS2
_chemical_formula_sum 'Pm3 Th3 S6'
_cell_length_a 3.9988
_cell_length_b 3.9988
_cell_length_c 20.1362
_cell_angle_alpha 90.00
_cell_angle_beta 90.00
_cell_angle_gamma 120.00
_symmetry_space_group_name_H-M 'R -3 m'
_symmetry_Int_Tables_number 166
_symmetry_space_group_name_Hall '-R 3 2"'
loop_
_atom_site_label
_atom_site_type_symbol
_atom_site_fract_x
_atom_site_fract_y
_atom_site_fract_z
_atom_site_occupancy
Pm1 Pm 0.0000 0.0000 0.0000 1
Th1 Th 0.0000 0.0000 0.5000 1
S1 S 0.0000 0.0000 0.2512 1

***

# Pm6ThS12, relaxed, DFT PBE
# E_form (uncorrected): -1.83 eV/atom
# E_tot: -6.3264 eV/atom
# Total magnetic moment: 3.7 μB/cell
data_Pm6ThS12
_chemical_formula_sum 'Pm18 Th3 S36'
_cell_length_a 12.3777
_cell_length_b 12.3777
_cell_length_c 11.5218
_cell_angle_alpha 90.00
_cell_angle_beta 90.00
_cell_angle_gamma 120.00
_symmetry_space_group_name_H-M 'R -3'
_symmetry_Int_Tables_number 148
_symmetry_space_group_name_Hall '-R 3'
loop_
_atom_site_label
_atom_site_type_symbol
_atom_site_fract_x
_atom_site_fract_y
_atom_site_fract_z
_atom_site_occupancy
Pm1 Pm 0.0510 0.2685 0.1444 1
Th1 Th 0.0000 0.0000 0.5000 1
S1 S 0.0383 0.2176 0.8968 1
S2 S 0.0497 0.2144 0.3859 1